{
  "formula": "LiCoRuF6",
  "functional": "GGA+U",
  "state": "relaxed",
  "lattice_angstrom": [[5.130, 0.000, 0.000], [-2.565, 4.442, 0.000], [0.000, 0.000, 8.990]],
  "species": ["Ru", "Ru", "F", "F", "F", "F", "F", "F", "F", "F", "F", "F", "F", "F", "Co", "Co", "Li", "Li"],
  "fractional_positions": [[0.000, 0.000, 0.000], [0.000, 0.000, 0.500], [0.002, 0.673, 0.872], [0.671, 0.998, 0.872], [0.327, 0.998, 0.628], [0.673, 0.671, 0.128], [0.998, 0.671, 0.372], [0.002, 0.329, 0.628], [0.671, 0.673, 0.628], [0.673, 0.002, 0.372], [0.327, 0.329, 0.872], [0.329, 0.327, 0.372], [0.998, 0.327, 0.128], [0.329, 0.002, 0.128], [0.667, 0.333, 0.750], [0.333, 0.667, 0.250], [0.667, 0.333, 0.250], [0.333, 0.667, 0.750]],
  "m_tot_mub_per_atom": 0.4453,
  "n_ef_per_ev_atom": 0.82,
  "final_energy_ev_per_atom": -5.09,
  "density_g_cm3": 4.6
}